Computed, not measured: a relaxed structure of Be2AsRh at the PBE-GGA level of DFT.

Results
DFT total energy = -4.8492 eV/atom
calculated formation energy = 0.014 eV per atom

Geometry as CIF:
```
data_Be2AsRh
_cell_length_a 5.035
_cell_length_b 8.011
_cell_length_c 2.915
_cell_angle_alpha 90.00
_cell_angle_beta 120.54
_cell_angle_gamma 90.00
_symmetry_space_group_name_H-M 'C 1 2/m 1'
_symmetry_Int_Tables_number 12
loop_
_symmetry_equiv_pos_as_xyz
'x,y,z'
'-x,-y,-z'
'-x,y,-z'
'x,-y,z'
'x+1/2,y+1/2,z'
'-x+1/2,-y+1/2,-z'
'-x+1/2,y+1/2,-z'
'x+1/2,-y+1/2,z'
loop_
_atom_site_label
_atom_site_type_symbol
_atom_site_fract_x
_atom_site_fract_y
_atom_site_fract_z
Be1 Be 0.250 0.250 0.000
As1 As 0.000 0.000 0.000
Rh1 Rh 0.000 0.500 0.000
```